(1)
Crystalline Pr4Cu2S at its relaxed geometry. Source: Alexandria, functional GGA-PBE.

Cell and atoms, written as POSCAR:
```
Pr4Cu2S
1.0
3.874 0.000 1.173
1.599 6.545 1.703
-0.155 0.426 7.497
Pr Cu S
4 2 1
direct
0.091 0.212 0.606 Pr
0.909 0.788 0.394 Pr
0.330 0.261 0.080 Pr
0.670 0.739 0.920 Pr
0.390 0.550 0.671 Cu
0.610 0.450 0.329 Cu
0.000 0.000 0.000 S
```

spin magnetization	0.000	Bohr magnetons per cell
calculated volume	27.04	Å³/atom
energy	-5.11	eV per atom
formation energy (no corrections)	-615	meV per atom


(2)
Crystalline Pr2CuS at its relaxed geometry. Source: Alexandria, functional GGA-PBE.

Cell and atoms, written as POSCAR:
```
Pr2CuS
1.0
-2.426 -0.559 -3.271
0.921 -2.891 -2.772
-4.308 -5.837 1.609
Pr S Cu
2 1 1
direct
0.254 0.254 0.237 Pr
0.746 0.746 0.763 Pr
0.000 0.000 0.000 S
0.500 0.500 0.500 Cu
```

spin magnetization	0.000	Bohr magnetons per cell
calculated volume	25.75	Å³/atom
energy	-5.43	eV per atom
formation energy (no corrections)	-988	meV per atom


(3)
Crystalline Pr2CuS at its relaxed geometry. Source: Alexandria, functional GGA-PBE.

Cell and atoms, written as POSCAR:
```
Pr2CuS
1.0
4.022 0.000 0.000
2.011 3.483 0.000
2.011 1.161 7.358
Pr Cu S
2 1 1
direct
0.078 0.078 0.767 Pr
0.256 0.256 0.233 Pr
0.499 0.499 0.503 Cu
0.668 0.668 0.997 S
```

spin magnetization	0.000	Bohr magnetons per cell
calculated volume	25.77	Å³/atom
energy	-5.38	eV per atom
formation energy (no corrections)	-939	meV per atom